Record 1
The following is a DFT calculation (PBE-GGA) of a geometry-optimized Ga4Ni structure.

Cell: 4.5951 4.5951 4.5951 Å, 90.00 90.00 90.00°
Closest atoms and distances in Å follow each position.
Space group Pm-3m (No. 221)
Inequivalent atoms, fractional coordinates:
Ga  0.0000  0.0000  0.0000 x1  12 Ga 3.25
Ga  0.0000  0.5000  0.5000 x3  2 Ni 2.30
Ni  0.5000  0.5000  0.5000 x1  6 Ga 2.30

Summary:
Uncorrected energy   -3.61 eV per atom
Polymorph energy (0 for the lowest one)   0.114 eV/atom
ΔE_f   -33 meV/atom



Record 2
The following is a DFT calculation (PBE-GGA) of a geometry-optimized Ga2Ni13 structure.

Cell: 5.4009 5.7101 6.1407 Å, 67.99 71.33 84.08°
Closest atoms and distances in Å follow each position.
Space group P-1 (No. 2)
Inequivalent atoms, fractional coordinates:
Ga  0.1419  0.4650  0.2858 x2  11 Ni 2.44-2.58
Ni  0.0000  0.0000  0.5000 x1  10 Ni 2.46-2.56, 2 Ga 2.55
Ni  0.0698  0.7408  0.8974 x2  2 Ga 2.44-2.46, 10 Ni 2.45-2.63
Ni  0.1972  0.2026  0.6979 x2  10 Ni 2.45-2.58, 2 Ga 2.51
Ni  0.2686  0.9384  0.0986 x2  11 Ni 2.45-2.56, 1 Ga 2.58
Ni  0.3331  0.6683  0.4995 x2  10 Ni 2.45-2.56, 2 Ga 2.53
Ni  0.3985  0.3985  0.8942 x2  2 Ga 2.45-2.51, 10 Ni 2.45-2.58
Ni  0.4689  0.1296  0.2994 x2  11 Ni 2.45-2.58, 1 Ga 2.46

Summary:
Uncorrected energy   -5.53 eV per atom
ΔE_f   -119 meV/atom



Record 3
The following is a DFT calculation (PBE-GGA) of a geometry-optimized Ga21Ni5 structure.

Cell: 12.8139 15.5192 8.9286 Å, 90.00 90.00 90.00°
Closest atoms and distances in Å follow each position.
Space group Fmm2 (No. 42)
Inequivalent atoms, fractional coordinates:
Ga  0.0000  0.0000  0.1159 x4  1 Ni 2.35, 2 Ga 2.53
Ga  0.0000  0.1477  0.7216 x8  2 Ni 2.47
Ga  0.0000  0.1547  0.4082 x8  1 Ni 2.42, 2 Ga 2.61
Ga  0.0000  0.1835  0.0465 x8  8 Ga 2.76-3.09
Ga  0.1137  0.0000  0.8843 x8  2 Ni 2.46, 2 Ga 2.53-2.72
Ga  0.1226  0.0000  0.5794 x8  3 Ni 2.38-2.51
Ga  0.1546  0.2181  0.2535 x16  2 Ni 2.51-2.55, 4 Ga 2.61-2.76
Ga  0.1785  0.0000  0.2698 x8  3 Ni 2.49-2.54, 1 Ga 2.67
Ga  0.2325  0.1390  0.0000 x16  2 Ni 2.39
Ni  0.0000  0.0000  0.3791 x4  7 Ga 2.35-2.49
Ni  0.1893  0.1206  0.7411 x16  8 Ga 2.39-2.55

Summary:
Uncorrected energy   -3.69 eV per atom
ΔE_f   -134 meV/atom



Record 4
The following is a DFT calculation (PBE-GGA) of a geometry-optimized Ga9Ni13 structure.

Cell: 9.9761 7.9010 8.5053 Å, 90.00 125.43 90.00°
Closest atoms and distances in Å follow each position.
Space group C2/m (No. 12)
Inequivalent atoms, fractional coordinates:
Ga  0.0000  0.0000  0.0000 x2  8 Ni 2.47-2.48
Ga  0.0393  0.2897  0.8093 x8  8 Ni 2.46-2.56
Ga  0.1699  0.5000  0.6135 x4  7 Ni 2.46-2.52
Ga  0.2079  0.0000  0.6667 x4  10 Ni 2.39-2.65
Ni  0.0000  0.2396  0.5000 x4  6 Ga 2.46-2.55, 6 Ni 2.50-2.72
Ni  0.0000  0.5000  0.0000 x2  6 Ga 2.51-2.64, 6 Ni 2.52-2.62
Ni  0.0520  0.0000  0.3210 x4  6 Ga 2.40-2.65, 5 Ni 2.56-2.66
Ni  0.1963  0.2385  0.1612 x8  6 Ga 2.39-2.54, 4 Ni 2.59-2.67
Ni  0.2413  0.0000  0.9865 x4  4 Ga 2.48-2.54, 6 Ni 2.52-2.67
Ni  0.2500  0.2500  0.5000 x4  6 Ni 2.50-2.61, 6 Ga 2.52-2.60

Summary:
Uncorrected energy   -5.04 eV per atom
ΔE_f   -390 meV/atom



Record 5
The following is a DFT calculation (PBE-GGA) of a geometry-optimized Ga3Ni5 structure.

Cell: 6.7808 7.5436 3.7417 Å, 90.00 90.00 90.00°
Closest atoms and distances in Å follow each position.
Space group Cmmm (No. 65)
Inequivalent atoms, fractional coordinates:
Ga  0.0000  0.0000  0.0000 x2  8 Ni 2.41-2.54
Ga  0.0000  0.2818  0.5000 x4  10 Ni 2.49-2.61
Ni  0.0000  0.5000  0.0000 x2  4 Ga 2.49, 8 Ni 2.54-2.64
Ni  0.2245  0.0000  0.5000 x4  6 Ga 2.41-2.61, 6 Ni 2.64-2.66
Ni  0.2500  0.2500  0.0000 x4  6 Ni 2.54-2.66, 6 Ga 2.54

Summary:
Uncorrected energy   -5.12 eV per atom
ΔE_f   -373 meV/atom



Record 6
The following is a DFT calculation (PBE-GGA) of a geometry-optimized Ga5Ni structure.

Cell: 2.8868 15.6432 4.7447 Å, 90.00 106.98 90.00°
Closest atoms and distances in Å follow each position.
Space group P2_1/m (No. 11)
Inequivalent atoms, fractional coordinates:
Ga  0.1135  0.1276  0.2138 x4  2 Ni 2.44-2.45, 1 Ga 2.61
Ga  0.1480  0.5504  0.2967 x4  8 Ga 2.61-2.92
Ga  0.3842  0.2500  0.7684 x2  3 Ni 2.49-2.51
Ni  0.3366  0.7500  0.6803 x2  7 Ga 2.44-2.51

Summary:
Uncorrected energy   -3.61 eV per atom
ΔE_f   -124 meV/atom



Record 7
The following is a DFT calculation (PBE-GGA) of a geometry-optimized Ga5Ni structure.

Cell: 3.8798 12.2119 4.1392 Å, 90.00 90.00 90.00°
Closest atoms and distances in Å follow each position.
Space group Cmmm (No. 65)
Inequivalent atoms, fractional coordinates:
Ga  0.0000  0.0000  0.0000 x2  8 Ga 2.76-2.77, 4 Ni 2.84
Ga  0.0000  0.1509  0.5000 x4  2 Ni 2.68, 6 Ga 2.77-2.84
Ga  0.0000  0.3395  0.0000 x4  8 Ga 2.76-2.92, 2 Ni 2.85
Ni  0.0000  0.5000  0.5000 x2  12 Ga 2.68-2.85

Summary:
Uncorrected energy   -3.49 eV per atom
ΔE_f   -3 meV/atom



Record 8
The following is a DFT calculation (PBE-GGA) of a geometry-optimized GaNi4 structure.

Cell: 3.2259 3.2259 12.1029 Å, 90.00 90.00 90.00°
Closest atoms and distances in Å follow each position.
Space group I4/mmm (No. 139)
Inequivalent atoms, fractional coordinates:
Ga  0.0000  0.0000  0.0000 x2  8 Ni 2.57
Ni  0.0000  0.0000  0.4015 x4  5 Ni 2.38-2.44, 4 Ga 2.57
Ni  0.0000  0.5000  0.2500 x4  8 Ni 2.28-2.44

Summary:
Uncorrected energy   -5.07 eV per atom
ΔE_f   160 meV/atom